Entry 1:
Compound: ZrFeGePt
Source: OQMD
Functional: PBE-GGA
Structure: relaxed

Values from the calculation:
* symmetry: No. 216

Structure (CIF):
```
data_ZrFeGePt
_chemical_formula_sum 'Zr1 Fe1 Ge1 Pt1'
_cell_length_a 4.540
_cell_length_b 4.540
_cell_length_c 4.540
_cell_angle_alpha 60.00
_cell_angle_beta 60.00
_cell_angle_gamma 60.00
_space_group_name_H-M_alt 'P 1'
_space_group_IT_number 1
_space_group_name_Hall 'P 1'
loop_
_atom_site_label
_atom_site_fract_x
_atom_site_fract_y
_atom_site_fract_z
Fe1 0.750 0.750 0.750
Ge1 0.000 0.000 0.000
Pt1 0.500 0.500 0.500
Zr1 0.250 0.250 0.250
```

---

Entry 2:
Compound: ZrFeGePt
Source: OQMD
Functional: PBE-GGA
Structure: relaxed

Values from the calculation:
* symmetry: No. 216

Structure (CIF):
```
data_ZrFeGePt
_chemical_formula_sum 'Zr1 Fe1 Ge1 Pt1'
_cell_length_a 4.491
_cell_length_b 4.491
_cell_length_c 4.491
_cell_angle_alpha 60.00
_cell_angle_beta 60.00
_cell_angle_gamma 60.00
_space_group_name_H-M_alt 'P 1'
_space_group_IT_number 1
_space_group_name_Hall 'P 1'
loop_
_atom_site_label
_atom_site_fract_x
_atom_site_fract_y
_atom_site_fract_z
Fe1 0.750 0.750 0.750
Ge1 0.000 0.000 0.000
Pt1 0.250 0.250 0.250
Zr1 0.500 0.500 0.500
```

---

Entry 3:
Compound: RbFe3Ge5
Source: OQMD
Functional: PBE-GGA
Structure: relaxed

Values from the calculation:
* symmetry: No. 191

Structure (CIF):
```
data_RbFe3Ge5
_chemical_formula_sum 'Rb1 Fe3 Ge5'
_cell_length_a 4.889
_cell_length_b 4.889
_cell_length_c 9.032
_cell_angle_alpha 90.00
_cell_angle_beta 90.00
_cell_angle_gamma 120.00
_space_group_name_H-M_alt 'P 1'
_space_group_IT_number 1
_space_group_name_Hall 'P 1'
loop_
_atom_site_label
_atom_site_fract_x
_atom_site_fract_y
_atom_site_fract_z
Fe1 0.500 0.000 0.500
Fe2 0.000 0.500 0.500
Fe3 0.500 0.500 0.500
Ge1 0.667 0.333 0.265
Ge2 0.333 0.667 0.265
Ge3 0.000 0.000 0.500
Ge4 0.667 0.333 0.735
Ge5 0.333 0.667 0.735
Rb1 0.000 0.000 0.000
```

---

Entry 4:
Compound: RbFeGeTe3
Source: OQMD
Functional: PBE-GGA
Structure: relaxed

Values from the calculation:
* symmetry: No. 11

Structure (CIF):
```
data_RbFeGeTe3
_chemical_formula_sum 'Rb2 Fe2 Ge2 Te6'
_cell_length_a 9.307
_cell_length_b 3.809
_cell_length_c 11.694
_cell_angle_alpha 90.00
_cell_angle_beta 108.02
_cell_angle_gamma 90.00
_space_group_name_H-M_alt 'P 1'
_space_group_IT_number 1
_space_group_name_Hall 'P 1'
loop_
_atom_site_label
_atom_site_fract_x
_atom_site_fract_y
_atom_site_fract_z
Fe1 0.491 0.750 0.401
Fe2 0.509 0.250 0.599
Ge1 0.432 0.250 0.062
Ge2 0.568 0.750 0.938
Rb1 0.940 0.750 0.226
Rb2 0.060 0.250 0.774
Te1 0.224 0.750 0.061
Te2 0.619 0.250 0.296
Te3 0.291 0.250 0.397
Te4 0.709 0.750 0.603
Te5 0.381 0.750 0.704
Te6 0.776 0.250 0.939
```

---

Entry 5:
Compound: RbFeGeTe3
Source: OQMD
Functional: PBE-GGA
Structure: relaxed

Values from the calculation:
* symmetry: No. 63

Structure (CIF):
```
data_RbFeGeTe3
_chemical_formula_sum 'Rb2 Fe2 Ge2 Te6'
_cell_length_a 8.450
_cell_length_b 8.450
_cell_length_c 11.549
_cell_angle_alpha 90.00
_cell_angle_beta 90.00
_cell_angle_gamma 150.14
_space_group_name_H-M_alt 'P 1'
_space_group_IT_number 1
_space_group_name_Hall 'P 1'
loop_
_atom_site_label
_atom_site_fract_x
_atom_site_fract_y
_atom_site_fract_z
Fe1 0.957 0.043 0.250
Fe2 0.043 0.957 0.750
Ge1 0.500 0.500 0.000
Ge2 0.500 0.500 0.500
Rb1 0.244 0.756 0.250
Rb2 0.756 0.244 0.750
Te1 0.879 0.121 0.059
Te2 0.551 0.449 0.250
Te3 0.879 0.121 0.441
Te4 0.121 0.879 0.559
Te5 0.449 0.551 0.750
Te6 0.121 0.879 0.941
```

---

Entry 6:
Compound: FeReGe2
Source: OQMD
Functional: PBE-GGA
Structure: relaxed

Values from the calculation:
* symmetry: No. 216

Structure (CIF):
```
data_FeReGe2
_chemical_formula_sum 'Fe1 Re1 Ge2'
_cell_length_a 4.361
_cell_length_b 4.361
_cell_length_c 4.361
_cell_angle_alpha 60.00
_cell_angle_beta 60.00
_cell_angle_gamma 60.00
_space_group_name_H-M_alt 'P 1'
_space_group_IT_number 1
_space_group_name_Hall 'P 1'
loop_
_atom_site_label
_atom_site_fract_x
_atom_site_fract_y
_atom_site_fract_z
Fe1 0.250 0.250 0.250
Ge1 0.000 0.000 0.000
Ge2 0.750 0.750 0.750
Re1 0.500 0.500 0.500
```

---

no.,raw total energy (eV per atom)
1,-7.238
2,-7.288
3,-5.535
4,-4.148
5,-4.133
6,-7.014